No. 1
# PBE-GGA Fe2HgIr2, relaxed
# space group	P4/mbm, No. 127
# size of the total moment	6.16	μB per formula unit
data_Fe2HgIr2
_cell_length_a 7.434
_cell_length_b 7.434
_cell_length_c 2.772
_cell_angle_alpha 90.00
_cell_angle_beta 90.00
_cell_angle_gamma 90.00
_space_group_name_H-M_alt 'P 1'
_space_group_IT_number 1
_space_group_name_Hall 'P 1'
loop_
_atom_site_label
_atom_site_fract_x
_atom_site_fract_y
_atom_site_fract_z
Ir1 0.369 0.869 0.000
Ir2 0.869 0.631 0.000
Ir3 0.631 0.131 0.000
Ir4 0.131 0.369 0.000
Hg1 0.000 0.000 0.000
Hg2 0.500 0.500 0.000
Fe1 0.163 0.663 0.500
Fe2 0.663 0.837 0.500
Fe3 0.837 0.337 0.500
Fe4 0.337 0.163 0.500

No. 2
# PBE-GGA CePu, relaxed
# energy above the lowest structure with this stoichiometry	0.0219	eV per atom
# space group	P-1, No. 2
# size of the total moment	5.78	μB per formula unit
data_CePu
_cell_length_a 3.322
_cell_length_b 5.573
_cell_length_c 5.978
_cell_angle_alpha 105.32
_cell_angle_beta 89.79
_cell_angle_gamma 107.83
_space_group_name_H-M_alt 'P 1'
_space_group_IT_number 1
_space_group_name_Hall 'P 1'
loop_
_atom_site_label
_atom_site_fract_x
_atom_site_fract_y
_atom_site_fract_z
Ce1 0.104 0.714 0.314
Ce2 0.896 0.286 0.686
Pu1 0.371 0.251 0.181
Pu2 0.629 0.749 0.819

No. 3
# PBE-GGA PmPr7Tm2, relaxed
# energy above the lowest structure with this stoichiometry	0.0000	eV per atom
# space group	C2/m, No. 12
# size of the total moment	0.00	μB per formula unit
data_PmPr7Tm2
_cell_length_a 6.238
_cell_length_b 11.831
_cell_length_c 9.908
_cell_angle_alpha 126.66
_cell_angle_beta 129.02
_cell_angle_gamma 90.00
_space_group_name_H-M_alt 'P 1'
_space_group_IT_number 1
_space_group_name_Hall 'P 1'
loop_
_atom_site_label
_atom_site_fract_x
_atom_site_fract_y
_atom_site_fract_z
Pm1 0.000 0.000 0.000
Pr1 0.122 0.835 0.670
Pr2 0.878 0.165 0.330
Pr3 0.525 0.635 0.769
Pr4 0.475 0.365 0.231
Pr5 0.475 0.866 0.231
Pr6 0.525 0.134 0.769
Pr7 0.500 0.500 0.000
Tm1 0.287 0.663 0.326
Tm2 0.713 0.337 0.674

no.,calculated formation energy (eV/atom)
1,0.2042
2,0.1179
3,0.2703